No. 1
KRh2W: optimized geometry, PBE-GGA.

## Properties
Formation energy in eV/atom: 0.37
Theoretical density in g cm⁻³: 10.0
E_tot in eV for the cell shown: -81.842
Total moment in μB/cell: 0.00
Crystal system: trigonal

Cell lengths 2.8823, 2.8823, 29.7153 Å; angles 90.00, 90.00, 120.00 degrees
Space group R-3m (No. 166, hexagonal axes)
Unique sites:
K (0.0000, 0.0000, 0.0000) (multiplicity 3)
Rh (0.0000, 0.0000, 0.2370) (multiplicity 6)
W (0.0000, 0.0000, 0.5000) (multiplicity 3)



No. 2
Zn3Cu3Rh: optimized geometry, PBE-GGA.

## Properties
Formation energy in eV/atom: 0.00
Theoretical density in g cm⁻³: 8.3
E_tot in eV for the cell shown: -140.751
Total moment in μB/cell: 0.00
Crystal system: trigonal

Cell lengths 6.2356, 6.2356, 17.4129 Å; angles 90.00, 90.00, 120.00 degrees
Space group R-3 (No. 148, hexagonal axes)
Unique sites:
Zn (0.0231, 0.7649, 0.0607) (multiplicity 18)
Cu (0.0486, 0.7783, 0.2054) (multiplicity 18)
Rh (0.0000, 0.0000, 0.3364) (multiplicity 6)



No. 3
YSnPd14: optimized geometry, PBE-GGA.

## Properties
Formation energy in eV/atom: -0.32
Theoretical density in g cm⁻³: 10.9
E_tot in eV for the cell shown: -88.227
Total moment in μB/cell: 0.00
Crystal system: tetragonal

Cell lengths 5.732, 5.732, 7.901 Å; angles 90.00, 90.00, 90.00 degrees
Space group P4/mmm (No. 123)
Unique sites:
Y (0.000, 0.000, 0.000) (multiplicity 1)
Sn (0.500, 0.500, 0.000) (multiplicity 1)
Pd (0.000, 0.000, 0.500) (multiplicity 1)
Pd (0.000, 0.500, 0.000) (multiplicity 2)
Pd (0.000, 0.500, 0.500) (multiplicity 2)
Pd (0.253, 0.253, 0.255) (multiplicity 8)
Pd (0.500, 0.500, 0.500) (multiplicity 1)



No. 4
ThInCuIr: optimized geometry, PBE-GGA.

## Properties
Formation energy in eV/atom: -0.37
Theoretical density in g cm⁻³: 12.3
E_tot in eV for the cell shown: -98.398
Total moment in μB/cell: 0.00
Crystal system: cubic

Cell lengths 6.887, 6.887, 6.887 Å; angles 90.00, 90.00, 90.00 degrees
Space group F-43m (No. 216)
Unique sites:
Th (0.000, 0.000, 0.000) (multiplicity 4)
In (0.000, 0.000, 0.500) (multiplicity 4)
Cu (0.250, 0.250, 0.750) (multiplicity 4)
Ir (0.250, 0.250, 0.250) (multiplicity 4)



What did the first record say?
KRh2W: optimized geometry, PBE-GGA.

## Properties
Formation energy in eV/atom: 0.37
Theoretical density in g cm⁻³: 10.0
E_tot in eV for the cell shown: -81.842
Total moment in μB/cell: 0.00
Crystal system: trigonal

Cell lengths 2.8823, 2.8823, 29.7153 Å; angles 90.00, 90.00, 120.00 degrees
Space group R-3m (No. 166, hexagonal axes)
Unique sites:
K (0.0000, 0.0000, 0.0000) (multiplicity 3)
Rh (0.0000, 0.0000, 0.2370) (multiplicity 6)
W (0.0000, 0.0000, 0.5000) (multiplicity 3)